Computed, not measured: a relaxed structure of YSbAs2Br at the PBE-GGA level of DFT.

The value obtained for the uncorrected formation energy is 0.082 eV per atom. The offset from the most stable computed form is 0.0 kJ per mole of atoms.

The structure belongs to space group P4/mmm (No. 123); the cell edges are 5.561, 5.561 and 5.263 Å and the angles 90.00°, 90.00° and 90.00°. The distinct sites, in fractional coordinates, are Y at (0.000, 0.000, 0.000), Sb at (0.500, 0.500, 0.500), As at (0.000, 0.500, 0.000) and Br at (0.000, 0.000, 0.500).

Computed, not measured: a relaxed structure of MgTl2Sb at the PBE-GGA level of DFT.

The value obtained for the uncorrected formation energy is -0.020 eV per atom. The offset from the most stable computed form is 3.6 kJ per mole of atoms.

The structure belongs to space group I-4m2 (No. 119); the cell edges are 4.922, 4.922 and 9.246 Å and the angles 90.00°, 90.00° and 90.00°. The distinct sites, in fractional coordinates, are Mg at (0.000, 0.000, 0.000), Tl at (0.000, 0.000, 0.500), Tl at (0.000, 0.500, 0.250) and Sb at (0.000, 0.500, 0.750).

Computed, not measured: a relaxed structure of SrMgIn2 at the PBE-GGA level of DFT.

The calculation puts the formation energy at -0.182 eV per atom.

The structure belongs to space group F-43m (No. 216); the cell edges are 7.688, 7.688 and 7.688 Å and the angles 90.00°, 90.00° and 90.00°. The distinct sites, in fractional coordinates, are Sr at (0.000, 0.000, 0.000), Mg at (0.250, 0.250, 0.250), In at (0.000, 0.000, 0.500) and In at (0.250, 0.250, 0.750).

no.,density (g/cm³),total DFT energy (no corrections) (hartree per atom)
1,4.49,-0.155
2,8.23,-0.097
3,4.99,-0.087